# 1
19
Lattice="5.4293 3.1346 3.5136 -5.4293 3.1346 3.5136 0.0000 -6.2692 3.5136" Properties=species:S:1:pos:R:3 comment="PBE Al6Ga12Pt, optimized geometry" n_ef_per_ev_atom=0.278 space_group=R-3 total_magnetization_mub_per_atom=0.000 formation_enthalpy_0k_ev_per_atom=-0.02 pbc="T T T"
Al -1.5838 -0.3403 2.0329
Al 1.0866 -1.2015 2.0329
Al 0.4972 1.5418 2.0329
Al -0.4972 -1.5418 8.5078
Al -1.0866 1.2015 8.5078
Al 1.5838 0.3403 8.5078
Ga -3.6653 1.2191 2.9016
Ga 0.7769 -3.7839 2.9016
Ga -2.4518 -0.5223 4.5744
Ga -2.8885 -2.5647 7.6391
Ga -0.7736 -2.3845 5.9663
Ga 1.6782 -1.8622 4.5744
Ga -1.6782 1.8622 5.9663
Ga 0.7736 2.3845 4.5744
Ga 2.8885 2.5647 2.9016
Ga 2.4518 0.5222 5.9663
Ga -0.7769 3.7838 7.6391
Ga 3.6654 -1.2191 7.6391
Pt 0.0000 0.0000 5.2703

# 2
7
Lattice="3.9683 0.0000 0.0000 0.0000 3.9683 0.0000 0.0000 0.0000 7.1114" Properties=species:S:1:pos:R:3 comment="PBE AlGaPt5, optimized geometry" n_ef_per_ev_atom=0.695 space_group=P4/mmm total_magnetization_mub_per_atom=0.000 formation_enthalpy_0k_ev_per_atom=-0.51 pbc="T T T"
Al 0.0000 0.0000 0.0000
Ga 1.9841 1.9841 3.5557
Pt 0.0000 0.0000 3.5557
Pt 0.0000 1.9841 1.5777
Pt 0.0000 1.9841 5.5337
Pt 1.9841 0.0000 1.5777
Pt 1.9841 0.0000 5.5337

# 3
12
Lattice="5.2350 0.0000 0.0000 0.0000 6.2472 0.0000 0.0000 0.0000 6.4246" Properties=species:S:1:pos:R:3 comment="PBE AlGa4Pt, optimized geometry" n_ef_per_ev_atom=0.212 space_group=P222 total_magnetization_mub_per_atom=0.000 formation_enthalpy_0k_ev_per_atom=-0.22 pbc="T T T"
Al 0.0000 0.0000 0.0000
Al 2.6175 3.1236 0.0000
Ga 0.9008 2.0329 4.8517
Ga 0.9008 4.2143 1.5729
Ga 1.4563 0.9598 2.2259
Ga 1.4563 5.2873 4.1987
Ga 3.7787 0.9598 4.1987
Ga 3.7787 5.2873 2.2259
Ga 4.3342 2.0329 1.5729
Ga 4.3342 4.2143 4.8517
Pt 2.6175 0.0000 0.0000
Pt 2.6175 3.1236 3.2123

# 4
20
Lattice="8.0748 4.6620 1.6579 -8.0748 4.6620 1.6579 0.0000 -9.3240 1.6579" Properties=species:S:1:pos:R:3 comment="PBE AlGa12Pt7, optimized geometry" n_ef_per_ev_atom=0.243 space_group=R-3 total_magnetization_mub_per_atom=0.000 formation_enthalpy_0k_ev_per_atom=-0.47 pbc="T T T"
Al 0.0000 0.0000 0.0000
Ga -2.9749 -6.0366 2.1356
Ga -6.7153 -0.4420 2.8380
Ga -2.0855 -1.5612 1.8509
Ga -3.7404 5.5947 2.1356
Ga -0.3093 2.5867 1.8509
Ga 2.3948 -1.0255 1.8509
Ga -2.3948 1.0255 3.1228
Ga 0.3093 -2.5867 3.1228
Ga 3.7404 -5.5947 2.8380
Ga 2.0855 1.5612 3.1228
Ga 6.7153 0.4420 2.1356
Ga 2.9749 6.0366 2.8380
Pt -5.2707 -5.3289 2.6840
Pt -7.2503 1.9001 2.2897
Pt 1.9796 -7.2290 2.2897
Pt 0.0000 0.0000 2.4868
Pt -1.9796 7.2290 2.6840
Pt 7.2503 -1.9001 2.6840
Pt 5.2707 5.3289 2.2897